# ZrFe2Se (PBE-GGA, relaxed)
# DFT total energy = -7.197 eV/atom
# formation energy (no corrections) = 42 meV per atom
# crystal system = trigonal
# calculated density = 7.73 g cm⁻³
data_ZrFe2Se
_cell_length_a 3.8984
_cell_length_b 3.8984
_cell_length_c 13.7964
_cell_angle_alpha 90.00
_cell_angle_beta 90.00
_cell_angle_gamma 120.00
_space_group_name_H-M_alt 'R -3 m'
_space_group_IT_number 166
_space_group_name_Hall '-R 3 2"'
loop_
_atom_site_label
_atom_site_fract_x
_atom_site_fract_y
_atom_site_fract_z
Zr1 0.0000 0.0000 0.0000
Fe1 0.0000 0.0000 0.2088
Se1 0.0000 0.0000 0.5000